## NbTcOs3 (PBE)

Data for NbTcOs3 after structural relaxation.

Values from the calculation:
Polymorph energy (0 for the lowest one): 0 meV/atom
Energy of formation from the pure elements: 15.07 kJ/mol of atoms
Space group: Cmcm

Cell and atoms, written as POSCAR:
```
NbTcOs3
1.0
-3.598 -1.921 -1.747
2.025 -4.964 1.288
-1.113 1.244 6.545
Os Tc Nb
6 2 2
direct
0.694 0.000 0.889
0.873 0.250 0.247
0.306 0.500 0.111
0.694 0.500 0.889
0.127 0.750 0.753
0.306 0.000 0.111
0.877 0.750 0.254
0.123 0.250 0.746
0.501 0.750 0.502
0.499 0.250 0.498
```